Arrangement i

The following is a GGA-PBE calculation of an optimized crystal structure of KZnI2O, from the Alexandria database.

Cell lengths 6.5920, 6.5920, 5.0710 Å; angles 90.00, 90.00, 90.00 degrees
Space group P4/mmm (No. 123)
One atom of each set of equivalent atoms:
K1 0.0000 0.0000 0.0000
Zn1 0.5000 0.5000 0.5000
I1 0.0000 0.5000 0.0000
O1 0.0000 0.0000 0.5000

Summary:
Calculated volume: 220.4 Å³/cell

=====

Arrangement ii

The following is a GGA-PBE calculation of an optimized crystal structure of KZnI2O, from the Alexandria database.

Cell lengths 6.5727, 6.5727, 3.5684 Å; angles 90.00, 90.00, 90.00 degrees
Space group P4/mmm (No. 123)
One atom of each set of equivalent atoms:
K1 0.0000 0.0000 0.0000
Zn1 0.5000 0.5000 0.5000
I1 0.0000 0.5000 0.5000
O1 0.5000 0.5000 0.0000

Summary:
Calculated volume: 154.2 Å³/cell

=====

Each structure's energy above the most stable one, in meV per atom: arrangement i 1034; arrangement ii 0.